# PmCoH2O4

A relaxed structure of PmCoH2O4 (GGA+U, the Alexandria database).

Computed properties:
**Space-group type**: I222 (23)
**Uncorrected energy**: -49.43 eV per formula unit

abc: 4.6536 4.7515 4.7515
angles: 71.02 60.68 60.68
Atoms (fractional coordinates):
Pm 0.0000 0.0000 0.0000
Co 0.5000 0.5000 0.5000
H 0.1816 0.3184 0.3184
H 0.8184 0.6816 0.6816
O 0.4091 0.1917 0.4317
O 0.0326 0.8083 0.5683
O 0.9674 0.4317 0.1917
O 0.5909 0.5683 0.8083